Arrangement A

{
  "formula": "KSb2W2",
  "functional": "GGA-PBE",
  "state": "optimized geometry",
  "lattice_angstrom": [[5.1937, 0.0000, 0.0000], [0.0000, 5.1937, 0.0000], [2.5969, 2.5969, 4.6549]],
  "species": ["W", "Sb", "Sb", "W", "K"],
  "fractional_positions": [[0.3768, 0.3768, 0.2465], [0.7500, 0.2500, 0.5000], [0.2500, 0.7500, 0.5000], [0.6232, 0.6232, 0.7535], [0.0000, 0.0000, 0.0000]]
}


Arrangement B

{
  "formula": "KSb2W2",
  "functional": "GGA-PBE",
  "state": "optimized geometry",
  "lattice_angstrom": [[-1.1402, -4.7022, -7.1933], [3.6074, -6.8480, 3.9047], [-2.9166, -0.9272, 1.0684]],
  "species": ["Sb", "K", "Sb", "K", "Sb", "W", "W", "W", "W", "Sb"],
  "fractional_positions": [[0.3320, 0.1680, 0.5000], [0.0000, 0.0000, 0.0000], [0.6680, 0.8320, 0.5000], [0.5000, 0.5000, 0.0000], [0.8320, 0.3320, 0.5000], [0.9043, 0.5957, 0.0000], [0.4043, 0.9043, 0.0000], [0.0957, 0.4043, 0.0000], [0.5957, 0.0957, 0.0000], [0.1680, 0.6680, 0.5000]]
}


arrangement A wins, 8.7 kJ/mol of atoms ahead of the next structure.


Arrangement A

{
  "formula": "KYSb3",
  "functional": "GGA-PBE",
  "state": "optimized geometry",
  "lattice_angstrom": [[-2.3771, 4.9391, -2.0674], [-4.7884, -0.9488, 3.2389], [2.3959, 3.0041, 4.4221]],
  "species": ["Y", "Sb", "Sb", "Sb", "K"],
  "fractional_positions": [[0.0000, 0.0000, 0.0000], [0.0000, 0.0000, 0.5000], [0.5000, 0.0000, 0.0000], [0.0000, 0.5000, 0.0000], [0.5000, 0.5000, 0.5000]]
}


Arrangement B

{
  "formula": "KYSb3",
  "functional": "GGA-PBE",
  "state": "optimized geometry",
  "lattice_angstrom": [[-4.3920, 2.9370, -1.9092], [-2.1037, 0.2368, 5.2038], [2.8010, 4.7832, 0.9146]],
  "species": ["Sb", "Sb", "Y", "K", "Sb"],
  "fractional_positions": [[0.0000, 0.0000, 0.5000], [0.5000, 0.0000, 0.0000], [0.5000, 0.5000, 0.5000], [0.0000, 0.0000, 0.0000], [0.0000, 0.5000, 0.0000]]
}


arrangement A wins, 94.1 kJ/mol of atoms ahead of the next structure.


Arrangement A

{
  "formula": "KY3Sb",
  "functional": "GGA-PBE",
  "state": "optimized geometry",
  "lattice_angstrom": [[5.4124, 0.0000, 0.0000], [0.0000, 5.4124, 0.0000], [0.0000, 0.0000, 5.4124]],
  "species": ["Y", "Y", "Sb", "K", "Y"],
  "fractional_positions": [[0.0000, 0.5000, 0.0000], [0.0000, 0.0000, 0.5000], [0.5000, 0.5000, 0.5000], [0.0000, 0.0000, 0.0000], [0.5000, 0.0000, 0.0000]]
}


Arrangement B

{
  "formula": "KY3Sb",
  "functional": "GGA-PBE",
  "state": "optimized geometry",
  "lattice_angstrom": [[-1.5749, -5.5777, -1.1317], [5.4003, -1.0939, -2.1242], [1.7968, -1.6014, 5.3925]],
  "species": ["Y", "Y", "Y", "Sb", "K"],
  "fractional_positions": [[0.0000, 0.0000, 0.5000], [0.5000, 0.0000, 0.0000], [0.0000, 0.5000, 0.0000], [0.0000, 0.0000, 0.0000], [0.5000, 0.5000, 0.5000]]
}


arrangement B wins, 90.8 kJ/mol of atoms ahead of the next structure.


Arrangement A

{
  "formula": "K3YSb",
  "functional": "GGA-PBE",
  "state": "optimized geometry",
  "lattice_angstrom": [[6.6677, 0.0000, 0.0000], [0.0000, 6.6677, 0.0000], [0.0000, 0.0000, 6.6677]],
  "species": ["Y", "K", "K", "Sb", "K"],
  "fractional_positions": [[0.5000, 0.5000, 0.5000], [0.0000, 0.0000, 0.5000], [0.0000, 0.5000, 0.0000], [0.0000, 0.0000, 0.0000], [0.5000, 0.0000, 0.0000]]
}


Arrangement B

{
  "formula": "K3YSb",
  "functional": "GGA-PBE",
  "state": "optimized geometry",
  "lattice_angstrom": [[6.7091, 0.0000, 0.0000], [0.0000, 6.7091, 0.0000], [0.0000, 0.0000, 6.7091]],
  "species": ["K", "Y", "K", "K", "Sb"],
  "fractional_positions": [[0.0000, 0.5000, 0.0000], [0.0000, 0.0000, 0.0000], [0.0000, 0.0000, 0.5000], [0.5000, 0.0000, 0.0000], [0.5000, 0.5000, 0.5000]]
}


arrangement A wins, 54.3 kJ/mol of atoms ahead of the next structure.


Arrangement A

{
  "formula": "KZn3Sb3",
  "functional": "GGA-PBE",
  "state": "optimized geometry",
  "lattice_angstrom": [[4.5750, 0.0000, 0.0000], [0.0000, 9.1838, -5.2974], [0.0000, -0.0041, 10.6006]],
  "species": ["Sb", "Zn", "Sb", "Sb", "Zn", "Sb", "K", "Zn", "Zn", "K", "Sb", "Zn", "Zn", "Sb"],
  "fractional_positions": [[0.7500, 0.6772, 0.6019], [0.2500, 0.5932, 0.6663], [0.2500, 0.3228, 0.3981], [0.2500, 0.0753, 0.6772], [0.7500, 0.6664, 0.0731], [0.7500, 0.9247, 0.3228], [0.7500, 0.3333, 0.6666], [0.2500, 0.3336, 0.9269], [0.7500, 0.4068, 0.3337], [0.2500, 0.6667, 0.3334], [0.2500, 0.6018, 0.9247], [0.2500, 0.0731, 0.4067], [0.7500, 0.9269, 0.5933], [0.7500, 0.3982, 0.0753]]
}


Arrangement B

{
  "formula": "KZn3Sb3",
  "functional": "GGA-PBE",
  "state": "optimized geometry",
  "lattice_angstrom": [[-2.0374, 3.6361, 6.3197], [4.3141, -4.6887, 4.0885], [5.8778, 4.7017, -0.8102]],
  "species": ["K", "Sb", "Zn", "Zn", "Zn", "Sb", "K", "Zn", "Zn", "Sb", "Sb", "Zn", "Sb", "Sb"],
  "fractional_positions": [[0.0000, 0.0000, 0.0000], [0.0000, 0.7500, 0.5000], [0.7500, 0.0000, 0.5000], [0.5000, 0.2500, 0.0000], [0.0000, 0.5000, 0.2500], [0.5000, 0.0000, 0.2500], [0.5000, 0.5000, 0.5000], [0.2500, 0.0000, 0.5000], [0.0000, 0.5000, 0.7500], [0.7500, 0.5000, 0.0000], [0.0000, 0.2500, 0.5000], [0.5000, 0.7500, 0.0000], [0.5000, 0.0000, 0.7500], [0.2500, 0.5000, 0.0000]]
}


Arrangement C

{
  "formula": "KZn3Sb3",
  "functional": "GGA-PBE",
  "state": "optimized geometry",
  "lattice_angstrom": [[7.2784, 0.0000, 0.0000], [3.6392, 6.3033, 0.0000], [3.6392, 2.1011, 9.3284]],
  "species": ["K", "Sb", "Zn", "Zn", "Zn", "Sb", "Sb", "Zn", "Zn", "K", "Zn", "Sb", "Sb", "Sb"],
  "fractional_positions": [[0.3337, 0.3337, 0.9990], [0.9052, 0.2313, 0.2870], [0.8597, 0.5216, 0.4207], [0.1403, 0.4784, 0.5793], [0.4784, 0.8021, 0.5793], [0.4235, 0.0948, 0.7130], [0.7687, 0.4235, 0.7130], [0.8021, 0.1403, 0.5793], [0.1979, 0.8597, 0.4207], [0.6663, 0.6663, 0.0010], [0.5216, 0.1979, 0.4207], [0.2313, 0.5765, 0.2870], [0.0948, 0.7687, 0.7130], [0.5765, 0.9052, 0.2870]]
}


arrangement C wins, 1.3 kJ/mol of atoms ahead of the next structure.


Arrangement A

{
  "formula": "KZr2Sb2",
  "functional": "GGA-PBE",
  "state": "optimized geometry",
  "lattice_angstrom": [[5.5665, 0.0000, 0.0000], [0.0000, 5.5665, 0.0000], [2.7833, 2.7833, 5.0521]],
  "species": ["Sb", "Zr", "Zr", "Sb", "K"],
  "fractional_positions": [[0.7500, 0.2500, 0.5000], [0.3418, 0.3418, 0.3165], [0.6582, 0.6582, 0.6835], [0.2500, 0.7500, 0.5000], [0.0000, 0.0000, 0.0000]]
}


Arrangement B

{
  "formula": "KZr2Sb2",
  "functional": "GGA-PBE",
  "state": "optimized geometry",
  "lattice_angstrom": [[4.7265, 0.0000, 0.0000], [0.0000, 4.7265, 0.0000], [2.3633, 2.3633, 7.1913]],
  "species": ["Sb", "Zr", "Sb", "K", "Zr"],
  "fractional_positions": [[0.3671, 0.3671, 0.2657], [0.2500, 0.7500, 0.5000], [0.6329, 0.6329, 0.7343], [0.0000, 0.0000, 0.0000], [0.7500, 0.2500, 0.5000]]
}


Arrangement C

{
  "formula": "KZr2Sb2",
  "functional": "GGA-PBE",
  "state": "optimized geometry",
  "lattice_angstrom": [[-6.9356, -3.3931, -3.7548], [0.1809, -6.5322, 5.5688], [-2.0969, 1.8323, 2.2174]],
  "species": ["Sb", "Zr", "K", "Zr", "Sb", "Sb", "Zr", "K", "Sb", "Zr"],
  "fractional_positions": [[0.8371, 0.3371, 0.5000], [0.8783, 0.6217, 0.0000], [0.0000, 0.0000, 0.0000], [0.3783, 0.8783, 0.0000], [0.1629, 0.6629, 0.5000], [0.6629, 0.8371, 0.5000], [0.6217, 0.1217, 0.0000], [0.5000, 0.5000, 0.0000], [0.3371, 0.1629, 0.5000], [0.1217, 0.3783, 0.0000]]
}


arrangement B wins, 12.2 kJ/mol of atoms ahead of the next structure.